A relaxed structure of Sm6SiSe2S3. Source: Alexandria via LeMat-Bulk, functional GGA-PBE.

## Properties
V   294.0 Å³ per cell
Uncorrected formation energy   -1.7809 eV/atom
Calculated density   6.69 g/cm3
DOS at the Fermi energy   0.470 states/eV/atom
Total energy   -74.5 eV/f.u.
Total moment   0.00 μB/f.u.

Cell lengths 7.130, 7.130, 7.091 Å; angles 99.65, 99.65, 120.03 degrees
Positions (direct):
Sm: 0.086 0.407 0.759
Sm: 0.236 0.236 0.243
Sm: 0.407 0.086 0.759
Sm: 0.593 0.914 0.241
Sm: 0.764 0.764 0.757
Sm: 0.914 0.593 0.241
Si: 0.000 0.000 0.500
Se: 0.333 0.667 0.500
Se: 0.667 0.333 0.500
S: 0.169 0.831 0.000
S: 0.500 0.500 0.000
S: 0.831 0.169 0.000